No. 1
# LiGaPtPb PBE relaxed
# **Excess energy over the best structure of this formula in the dataset**: 0.091 eV/atom
# **Volume**: 18.28 Å³ per atom
data_LiGaPtPb
_chemical_formula_sum 'Li4 Ga4 Pt4 Pb4'
_cell_length_a 6.637
_cell_length_b 6.637
_cell_length_c 6.637
_cell_angle_alpha 90.00
_cell_angle_beta 90.00
_cell_angle_gamma 90.00
_symmetry_space_group_name_H-M 'F -4 3 m'
_symmetry_Int_Tables_number 216
_symmetry_space_group_name_Hall 'F -4 2 3'
loop_
_atom_site_label
_atom_site_type_symbol
_atom_site_fract_x
_atom_site_fract_y
_atom_site_fract_z
Li1 Li 0.000 0.000 0.000
Ga1 Ga 0.000 0.000 0.500
Pt1 Pt 0.250 0.250 0.250
Pb1 Pb 0.250 0.250 0.750


No. 2
# BaLiPrTe3 PBE relaxed
# **Total energy**: -107.78 eV for the cell shown
# **Volume**: 34.57 Å³ per atom
data_BaLiPrTe3
_chemical_formula_sum 'Ba4 Li4 Pr4 Te12'
_cell_length_a 11.906
_cell_length_b 4.625
_cell_length_c 15.069
_cell_angle_alpha 90.00
_cell_angle_beta 90.00
_cell_angle_gamma 90.00
_symmetry_space_group_name_H-M 'P n m a'
_symmetry_Int_Tables_number 62
loop_
_symmetry_equiv_pos_as_xyz
'x,y,z'
'-x,-y,-z'
'-x+1/2,-y,z+1/2'
'x+1/2,y,-z+1/2'
'x+1/2,-y+1/2,-z+1/2'
'-x+1/2,y+1/2,z+1/2'
'-x,y+1/2,-z'
'x,-y+1/2,z'
loop_
_atom_site_label
_atom_site_type_symbol
_atom_site_fract_x
_atom_site_fract_y
_atom_site_fract_z
Ba1 Ba 0.228 0.250 0.001
Li1 Li 0.237 0.750 0.224
Pr1 Pr 0.016 0.750 0.743
Te1 Te 0.048 0.750 0.116
Te2 Te 0.084 0.250 0.608
Te3 Te 0.238 0.250 0.327


No. 3
# TbScPd PBE relaxed
# **Excess energy over the best structure of this formula in the dataset**: 0.000 eV/atom
# **Formation enthalpy at 0 K**: -0.45 eV/atom
# **Volume**: 25.14 Å³ per atom
data_TbScPd
_chemical_formula_sum 'Tb4 Sc4 Pd4'
_cell_length_a 6.707
_cell_length_b 6.707
_cell_length_c 6.707
_cell_angle_alpha 90.00
_cell_angle_beta 90.00
_cell_angle_gamma 90.00
_symmetry_space_group_name_H-M 'F -4 3 m'
_symmetry_Int_Tables_number 216
_symmetry_space_group_name_Hall 'F -4 2 3'
loop_
_atom_site_label
_atom_site_type_symbol
_atom_site_fract_x
_atom_site_fract_y
_atom_site_fract_z
Tb1 Tb 0.000 0.000 0.000
Sc1 Sc 0.000 0.000 0.500
Pd1 Pd 0.250 0.250 0.750


No. 4
# Ta4Ge5Pt5 PBE relaxed
# **Total energy**: -214.64 eV for the cell shown
# **Volume**: 19.69 Å³ per atom
data_Ta4Ge5Pt5
_chemical_formula_sum 'Ta8 Ge10 Pt10'
_cell_length_a 9.538
_cell_length_b 9.538
_cell_length_c 6.061
_cell_angle_alpha 90.00
_cell_angle_beta 90.00
_cell_angle_gamma 90.00
_symmetry_space_group_name_H-M 'I -4'
_symmetry_Int_Tables_number 82
loop_
_symmetry_equiv_pos_as_xyz
'x,y,z'
'y,-x,-z'
'-x,-y,z'
'-y,x,-z'
'x+1/2,y+1/2,z+1/2'
'y+1/2,-x+1/2,-z+1/2'
'-x+1/2,-y+1/2,z+1/2'
'-y+1/2,x+1/2,-z+1/2'
loop_
_atom_site_label
_atom_site_type_symbol
_atom_site_fract_x
_atom_site_fract_y
_atom_site_fract_z
Ta1 Ta 0.099 0.200 0.250
Ge1 Ge 0.000 0.500 0.250
Ge2 Ge 0.091 0.217 0.755
Pt1 Pt 0.000 0.000 0.000
Pt2 Pt 0.105 0.711 0.485


No. 5
# KThPt PBE relaxed
# **Excess energy over the best structure of this formula in the dataset**: 0.000 eV/atom
# **Volume**: 30.17 Å³ per atom
data_KThPt
_chemical_formula_sum 'K4 Th4 Pt4'
_cell_length_a 7.127
_cell_length_b 7.127
_cell_length_c 7.127
_cell_angle_alpha 90.00
_cell_angle_beta 90.00
_cell_angle_gamma 90.00
_symmetry_space_group_name_H-M 'F -4 3 m'
_symmetry_Int_Tables_number 216
_symmetry_space_group_name_Hall 'F -4 2 3'
loop_
_atom_site_label
_atom_site_type_symbol
_atom_site_fract_x
_atom_site_fract_y
_atom_site_fract_z
K1 K 0.000 0.000 0.000
Th1 Th 0.000 0.000 0.500
Pt1 Pt 0.250 0.250 0.250


No. 6
# Pu3Si4Pt2 PBE relaxed
# **Total energy**: -166.32 eV for the cell shown
# **Volume**: 19.37 Å³ per atom
data_Pu3Si4Pt2
_chemical_formula_sum 'Pu6 Si8 Pt4'
_cell_length_a 10.919
_cell_length_b 4.184
_cell_length_c 8.317
_cell_angle_alpha 90.00
_cell_angle_beta 113.41
_cell_angle_gamma 90.00
_symmetry_space_group_name_H-M 'C 1 2/m 1'
_symmetry_Int_Tables_number 12
loop_
_symmetry_equiv_pos_as_xyz
'x,y,z'
'-x,-y,-z'
'-x,y,-z'
'x,-y,z'
'x+1/2,y+1/2,z'
'-x+1/2,-y+1/2,-z'
'-x+1/2,y+1/2,-z'
'x+1/2,-y+1/2,z'
loop_
_atom_site_label
_atom_site_type_symbol
_atom_site_fract_x
_atom_site_fract_y
_atom_site_fract_z
Pu1 Pu 0.000 0.000 0.000
Pu2 Pu 0.108 0.500 0.678
Si1 Si 0.114 0.000 0.411
Si2 Si 0.233 0.500 0.063
Pt1 Pt 0.172 0.500 0.310